(1)
# Tb2NdPaSb4

A relaxed Tb2NdPaSb4 crystal (PBE, Alexandria via LeMat-Bulk).

Properties
Crystal system = monoclinic
Final energy = -5.9811 eV/atom
SG = P2/m, No. 10
Volume = 30.564 Å³/atom
Spin magnetization = 0.9 μB/f.u.

Cell lengths 4.4175, 7.6726, 7.6451 Å; angles 109.33, 90.00, 90.00 degrees
With the nearest neighbours (Å) after each atom.
Element x y z (fractional)
Sb: 0.5000 0.2570 0.2538  3 Tb 3.09-3.15, 1 Pa 3.10, 2 Nd 3.16
Tb: 0.0000 0.5000 0.5000  6 Sb 3.09
Tb: 0.5000 0.0000 0.5000  6 Sb 3.13-3.15
Sb: 0.0000 0.7463 0.2516  3 Tb 3.09-3.13, 2 Pa 3.12, 1 Nd 3.16
Nd: 0.0000 0.0000 0.0000  6 Sb 3.16
Sb: 0.5000 0.7430 0.7462  3 Tb 3.09-3.15, 1 Pa 3.10, 2 Nd 3.16
Pa: 0.5000 0.5000 0.0000  6 Sb 3.10-3.12
Sb: 0.0000 0.2537 0.7484  3 Tb 3.09-3.13, 2 Pa 3.12, 1 Nd 3.16



(2)
# Pm12Co5Hg3

A relaxed Pm12Co5Hg3 crystal (PBE, Alexandria via LeMat-Bulk).

Properties
Crystal system = cubic
Final energy = -4.6026 eV/atom
DFT formation energy = 70 meV/atom
SG = Ia-3d, No. 230
Volume = 29.839 Å³/atom
Spin magnetization = 0.0 μB/f.u.

Cell lengths 14.5825, 14.5825, 14.5825 Å; angles 109.47, 109.47, 109.47 degrees
With the nearest neighbours (Å) after each atom.
Element x y z (fractional)
Hg: 0.2500 0.1250 0.3750  8 Pm 3.26-3.31
Hg: 0.7500 0.8750 0.6250  8 Pm 3.26-3.31
Pm: 0.7951 0.3227 0.9137  2 Co 2.54-2.71
Co: 0.0000 0.0000 0.5000  6 Pm 2.71
Co: 0.5000 0.5000 0.0000  6 Pm 2.71
Pm: 0.4137 0.1186 0.5910  2 Co 2.54-2.71
Pm: 0.8227 0.9090 0.0276  2 Co 2.54-2.71
Pm: 0.2049 0.5276 0.6186  2 Co 2.54-2.71
Pm: 0.7951 0.4724 0.3814  2 Co 2.54-2.71
Pm: 0.3227 0.5276 0.4090  2 Co 2.54-2.71
Co: 0.0000 0.5000 0.5000  6 Pm 2.71
Co: 0.6250 0.8750 0.2500  4 Pm 2.54
Pm: 0.3814 0.9724 0.7951  2 Co 2.54-2.71
Hg: 0.3750 0.7500 0.6250  8 Pm 3.26-3.31
Pm: 0.4724 0.6773 0.0910  2 Co 2.54-2.71
Pm: 0.7049 0.1186 0.0276  2 Co 2.54-2.71
Pm: 0.5276 0.3227 0.9090  2 Co 2.54-2.71
Co: 0.2500 0.8750 0.1250  4 Pm 2.54
Pm: 0.8814 0.5863 0.9090  2 Co 2.54-2.71
Hg: 0.1250 0.8750 0.7500  8 Pm 3.26-3.31
Co: 0.7500 0.1250 0.8750  4 Pm 2.54
Hg: 0.2500 0.6250 0.8750  8 Pm 3.26-3.31
Hg: 0.8750 0.1250 0.2500  8 Pm 3.26-3.31
Co: 0.0000 0.0000 0.0000  6 Pm 2.71
Co: 0.7500 0.6250 0.3750  4 Pm 2.54
Pm: 0.7049 0.5863 0.1773  2 Co 2.54-2.71
Pm: 0.4137 0.2951 0.3227  2 Co 2.54-2.71
Co: 0.5000 0.0000 0.5000  6 Pm 2.71
Co: 0.1250 0.3750 0.2500  4 Pm 2.54
Pm: 0.6773 0.2049 0.5863  2 Co 2.54-2.71
Pm: 0.6186 0.5910 0.9137  2 Co 2.54-2.71
Co: 0.1250 0.7500 0.3750  4 Pm 2.54
Pm: 0.3227 0.7951 0.4137  2 Co 2.54-2.71
Co: 0.6250 0.7500 0.8750  4 Pm 2.54
Pm: 0.4090 0.0276 0.3227  2 Co 2.54-2.71
Pm: 0.3814 0.4090 0.0863  2 Co 2.54-2.71
Pm: 0.1186 0.4137 0.0910  2 Co 2.54-2.71
Pm: 0.2951 0.4137 0.8227  2 Co 2.54-2.71
Pm: 0.5863 0.7049 0.6773  2 Co 2.54-2.71
Pm: 0.0910 0.9137 0.1186  2 Co 2.54-2.71
Pm: 0.1773 0.0910 0.9724  2 Co 2.54-2.71
Pm: 0.6186 0.0276 0.2049  2 Co 2.54-2.71
Pm: 0.9090 0.0863 0.8814  2 Co 2.54-2.71
Pm: 0.8814 0.2951 0.4724  2 Co 2.54-2.71
Hg: 0.3750 0.6250 0.2500  8 Pm 3.26-3.31
Pm: 0.0863 0.9090 0.3814  2 Co 2.54-2.71
Co: 0.2500 0.3750 0.6250  4 Pm 2.54
Pm: 0.0276 0.4090 0.8227  2 Co 2.54-2.71
Pm: 0.9724 0.5910 0.1773  2 Co 2.54-2.71
Co: 0.8750 0.2500 0.6250  4 Pm 2.54
Pm: 0.6773 0.4724 0.5910  2 Co 2.54-2.71
Pm: 0.0863 0.1773 0.2049  2 Co 2.54-2.71
Co: 0.8750 0.6250 0.7500  4 Pm 2.54
Pm: 0.9137 0.8227 0.7951  2 Co 2.54-2.71
Hg: 0.7500 0.3750 0.1250  8 Pm 3.26-3.31
Hg: 0.6250 0.3750 0.7500  8 Pm 3.26-3.31
Pm: 0.5276 0.2049 0.1186  2 Co 2.54-2.71
Pm: 0.5910 0.9724 0.6773  2 Co 2.54-2.71
Co: 0.5000 0.5000 0.5000  6 Pm 2.71
Pm: 0.2049 0.6773 0.0863  2 Co 2.54-2.71
Pm: 0.1186 0.7049 0.5276  2 Co 2.54-2.71
Hg: 0.8750 0.7500 0.1250  8 Pm 3.26-3.31
Pm: 0.4724 0.7951 0.8814  2 Co 2.54-2.71
Pm: 0.4090 0.3814 0.5863  2 Co 2.54-2.71
Hg: 0.1250 0.2500 0.8750  8 Pm 3.26-3.31
Pm: 0.0910 0.1773 0.4724  2 Co 2.54-2.71
Pm: 0.5910 0.6186 0.4137  2 Co 2.54-2.71
Pm: 0.9090 0.8227 0.5276  2 Co 2.54-2.71
Co: 0.5000 0.0000 0.0000  6 Pm 2.71
Pm: 0.2951 0.8814 0.9724  2 Co 2.54-2.71
Co: 0.0000 0.5000 0.0000  6 Pm 2.71
Pm: 0.8227 0.9137 0.2951  2 Co 2.54-2.71
Pm: 0.0276 0.6186 0.7049  2 Co 2.54-2.71
Pm: 0.1773 0.0863 0.7049  2 Co 2.54-2.71
Co: 0.3750 0.1250 0.7500  4 Pm 2.54
Pm: 0.9724 0.3814 0.2951  2 Co 2.54-2.71
Pm: 0.5863 0.8814 0.4090  2 Co 2.54-2.71
Pm: 0.9137 0.0910 0.6186  2 Co 2.54-2.71
Hg: 0.6250 0.2500 0.3750  8 Pm 3.26-3.31
Co: 0.3750 0.2500 0.1250  4 Pm 2.54



(3)
# Ac3PmIr8

A relaxed Ac3PmIr8 crystal (PBE, Alexandria via LeMat-Bulk).

Properties
Crystal system = trigonal
Final energy = -7.9229 eV/atom
DFT formation energy = -593 meV/atom
SG = R3m, No. 160
Volume = 19.977 Å³/atom
Spin magnetization = 0.0 μB/f.u.

Cell lengths 5.5360, 5.5360, 9.5809 Å; angles 73.21, 73.21, 60.00 degrees
With the nearest neighbours (Å) after each atom.
Element x y z (fractional)
Ir: 0.6876 0.6876 0.9373  6 Ir 2.79-2.80
Ir: 0.9358 0.4364 0.1914  6 Ir 2.73-2.80
Ir: 0.1878 0.1878 0.4366  6 Ir 2.73-2.75
Ir: 0.4364 0.4364 0.1914  6 Ir 2.73-2.80
Pm: 0.8745 0.8745 0.3764  12 Ir 3.20-3.24, 4 Ac 3.37-3.38
Ac: 0.5008 0.5008 0.4975  12 Ir 3.19-3.24, 3 Pm 3.38, 1 Ac 3.40
Ac: 0.3752 0.3752 0.8743  12 Ir 3.25-3.28, 4 Ac 3.40
Ir: 0.9381 0.4402 0.6835  6 Ir 2.75-2.79
Ir: 0.4402 0.9381 0.6835  6 Ir 2.75-2.79
Ir: 0.4364 0.9358 0.1914  6 Ir 2.73-2.80
Ac: 0.9990 0.9990 0.0031  12 Ir 3.25-3.30, 1 Pm 3.37, 3 Ac 3.40
Ir: 0.9381 0.9381 0.6835  6 Ir 2.75-2.79



(4)
# Ba2AcVN4

A relaxed Ba2AcVN4 crystal (PBE, Alexandria via LeMat-Bulk).

Properties
Crystal system = orthorhombic
Final energy = -7.2077 eV/atom
SG = Pmn2_1, No. 31
Volume = 21.070 Å³/atom
Spin magnetization = 0.0 μB/f.u.

Cell lengths 5.8650, 7.5585, 7.6049 Å; angles 90.00, 90.00, 90.00 degrees
With the nearest neighbours (Å) after each atom.
Element x y z (fractional)
N: 0.9276 0.9332 0.0000  1 V 1.86
V: 0.0014 0.1719 0.0000  4 N 1.83-1.87
N: 0.8125 0.8215 0.5000  1 V 1.83
Ba: 0.9696 0.6592 0.2385  3 N 2.51-2.76
N: 0.3125 0.1785 0.0000  1 V 1.83
N: 0.4201 0.7155 0.7092  1 V 1.87
N: 0.9201 0.2845 0.2092  1 V 1.87
Ac: 0.9791 0.1085 0.5000  4 N 2.38-2.65
V: 0.5014 0.8281 0.5000  4 N 1.83-1.87
Ba: 0.4696 0.3408 0.7385  3 N 2.51-2.76
N: 0.4276 0.0668 0.5000  1 V 1.86
Ac: 0.4791 0.8915 0.0000  4 N 2.38-2.65
Ba: 0.9696 0.6592 0.7615  3 N 2.51-2.76
N: 0.4201 0.7155 0.2908  1 V 1.87
N: 0.9201 0.2845 0.7908  1 V 1.87
Ba: 0.4696 0.3408 0.2615  3 N 2.51-2.76



(5)
# Pm2HfUN4

A relaxed Pm2HfUN4 crystal (PBE, Alexandria via LeMat-Bulk).

Properties
Crystal system = monoclinic
Final energy = -9.5611 eV/atom
SG = P2/m, No. 10
Volume = 14.476 Å³/atom
Spin magnetization = 0.2 μB/f.u.

Cell lengths 3.4301, 5.8898, 6.0485 Å; angles 108.61, 90.00, 90.00 degrees
With the nearest neighbours (Å) after each atom.
Element x y z (fractional)
N: 0.0000 0.7417 0.2097  1 Hf 2.27, 2 U 2.33
Hf: 0.0000 0.0000 0.0000  6 N 2.27-2.31
Pm: 0.0000 0.5000 0.5000  6 N 2.59-2.60
Pm: 0.5000 0.0000 0.5000  6 N 2.58
N: 0.5000 0.7633 0.7937  1 U 2.28, 2 Hf 2.31
U: 0.5000 0.5000 0.0000  6 N 2.28-2.33
N: 0.0000 0.2583 0.7903  1 Hf 2.27, 2 U 2.33
N: 0.5000 0.2367 0.2063  1 U 2.28, 2 Hf 2.31



Question: Which of these has the lowest volume?
Answer: Pm2HfUN4